Entry 1:
# MgBe4Al PBE optimized geometry
data_MgBe4Al
_chemical_formula_sum 'Mg4 Be16 Al4'
_cell_length_a 6.421
_cell_length_b 6.421
_cell_length_c 6.421
_cell_angle_alpha 90.00
_cell_angle_beta 90.00
_cell_angle_gamma 90.00
_symmetry_space_group_name_H-M 'F -4 3 m'
_symmetry_Int_Tables_number 216
_symmetry_space_group_name_Hall 'F -4 2 3'
loop_
_atom_site_label
_atom_site_type_symbol
_atom_site_fract_x
_atom_site_fract_y
_atom_site_fract_z
Mg1 Mg 0.000 0.000 0.000
Be1 Be 0.125 0.125 0.375
Al1 Al 0.250 0.250 0.750
# size of the total moment = 0.00 Bohr magnetons per cell
# DOS(E_F) = 0.200 states/eV per atom
# energy = -3.284 eV/atom
# energy of formation = 0.090 eV/atom

Entry 2:
# CePm5Er4 PBE optimized geometry
data_CePm5Er4
_chemical_formula_sum 'Ce2 Pm10 Er8'
_cell_length_a 17.859
_cell_length_b 3.495
_cell_length_c 10.950
_cell_angle_alpha 90.00
_cell_angle_beta 106.68
_cell_angle_gamma 90.00
_symmetry_space_group_name_H-M 'C 1 2/m 1'
_symmetry_Int_Tables_number 12
_symmetry_space_group_name_Hall '-C 2y'
loop_
_atom_site_label
_atom_site_type_symbol
_atom_site_fract_x
_atom_site_fract_y
_atom_site_fract_z
Ce1 Ce 0.000 0.000 0.000
Pm1 Pm 0.000 0.000 0.500
Pm2 Pm 0.104 0.500 0.283
Pm3 Pm 0.206 0.500 0.602
Er1 Er 0.094 0.500 0.813
Er2 Er 0.196 0.000 0.080
# size of the total moment = 0.95 Bohr magnetons per cell
# DOS(E_F) = 1.769 states/eV per atom
# energy = -4.688 eV/atom
# energy of formation = 0.106 eV/atom